Entry 1:
A crystal of Ba2CaPb relaxed with PBEsol, computed with SCAN.

a = 4.2826 Å, b = 5.4412 Å, c = 7.5543 Å
α = 90.00°, β = 106.36°, γ = 90.00°
Element x y z (fractional)
Pb: 0.3183 0.5000 0.7570
Ca: 0.1944 0.0000 0.5161
Ba: 0.9083 0.0000 0.9416
Ba: 0.5790 0.5000 0.2853

Values from the calculation:
The theoretical density is 5.131 g cm⁻³. Its formation energy is -36 kJ/mol of atoms. The symmetry is Pm (6). The crystal system is monoclinic. Its total magnetization is 0.0 μB/f.u.

=====

Entry 2:
A crystal of Ba2Ca2Pb relaxed with PBEsol, computed with SCAN.

a = 4.6212 Å, b = 4.6212 Å, c = 10.3746 Å
α = 102.87°, β = 102.87°, γ = 90.00°
Element x y z (fractional)
Ba: 0.2500 0.7500 0.5000
Ba: 0.7500 0.2500 0.5000
Ca: 0.5827 0.5827 0.1655
Ca: 0.4173 0.4173 0.8345
Pb: 0.0000 0.0000 0.0000

Values from the calculation:
The theoretical density is 4.438 g cm⁻³. Its formation energy is 20 kJ/mol of atoms. The symmetry is I4/mmm (139). The crystal system is tetragonal. Its total magnetization is 0.0 μB/f.u.

=====

Entry 3:
A crystal of BaCa2Pb relaxed with PBEsol, computed with SCAN.

a = 3.9253 Å, b = 3.9253 Å, c = 11.8852 Å
α = 80.50°, β = 80.50°, γ = 60.00°
Element x y z (fractional)
Pb: 0.5000 0.5000 0.5000
Ca: 0.2342 0.2342 0.2974
Ca: 0.7658 0.7658 0.7026
Ba: 0.0000 0.0000 0.0000

Values from the calculation:
The theoretical density is 4.530 g cm⁻³. Its formation energy is -21 kJ/mol of atoms. The symmetry is R-3m (166). The crystal system is trigonal. Its total magnetization is 0.0 μB/f.u.

=====

Entry 4:
A crystal of Ba2CaPb relaxed with PBEsol, computed with SCAN.

a = 5.2889 Å, b = 5.4309 Å, c = 5.4309 Å
α = 90.00°, β = 90.00°, γ = 90.00°
Element x y z (fractional)
Pb: 0.5000 0.0000 0.0000
Ca: 0.5000 0.5000 0.5000
Ba: 0.0000 0.0000 0.5000
Ba: 0.0000 0.5000 0.0000

Values from the calculation:
The theoretical density is 5.556 g cm⁻³. Its formation energy is -41 kJ/mol of atoms. The symmetry is P4/mmm (123). The crystal system is tetragonal. Its total magnetization is 0.0 μB/f.u.